# 1
First-principles (PBE-GGA) data for a geometry-optimized Cs2SbPd structure, as listed in the Open Quantum Materials Database.

Values from the calculation:
Space-group type   Amm2

Structure (POSCAR):
```
Cs2SbPd
1.0
-0.9338 -5.6622 -4.5455
6.4276 -2.4649 1.7499
-5.1211 -2.5400 4.2160
Cs Pd Sb
4 2 2
Direct
0.0000 0.1222 0.4493 Cs
0.5000 0.8514 0.5105 Cs
0.5000 0.5105 0.8514 Cs
0.0000 0.4493 0.1222 Cs
0.7009 0.9929 0.9929 Pd
0.2991 0.9929 0.9929 Pd
0.0000 0.8173 0.8173 Sb
0.5000 0.2637 0.2637 Sb
```

# 2
First-principles (PBE-GGA) data for a geometry-optimized Tl2Ir structure, as listed in the Open Quantum Materials Database.

Values from the calculation:
Space-group type   Fd-3m
M_tot   0.01 Bohr magnetons per cell

Structure (POSCAR):
```
Tl2Ir
1.0
-6.3652 -3.8170 3.9829
1.5858 -6.0620 5.6290
-1.2952 1.4251 8.2000
Ir Tl
2 4
Direct
0.5000 0.5000 0.5000 Ir
0.2500 0.2500 0.2500 Ir
0.8750 0.3750 0.3750 Tl
0.3750 0.8750 0.3750 Tl
0.3750 0.3750 0.8750 Tl
0.3750 0.3750 0.3750 Tl
```

# 3
First-principles (PBE-GGA) data for a geometry-optimized Rb6ZnGa2 structure, as listed in the Open Quantum Materials Database.

Values from the calculation:
Space-group type   C2/m

Structure (POSCAR):
```
Rb6ZnGa2
1.0
-5.0254 -2.8232 3.2495
0.7600 -5.8476 3.0020
4.3058 7.5950 7.8384
Ga Rb Zn
2 6 1
Direct
0.9113 0.9113 0.7779 Ga
0.0887 0.0887 0.2221 Ga
0.6980 0.6980 0.0813 Rb
0.1816 0.1816 0.5612 Rb
0.5630 0.5630 0.7275 Rb
0.4370 0.4370 0.2725 Rb
0.3020 0.3020 0.9187 Rb
0.8184 0.8184 0.4388 Rb
0.0000 0.0000 0.0000 Zn
```

# 4
First-principles (PBE-GGA) data for a geometry-optimized Cu7Ag3 structure, as listed in the Open Quantum Materials Database.

Values from the calculation:
ΔH_f (0 K)   0.0842 eV per atom
Space-group type   Cm

Structure (POSCAR):
```
Cu7Ag3
1.0
4.2879 -1.8730 0.0000
4.2879 1.8730 0.0000
-0.1122 0.0000 8.5452
Ag Cu
3 7
Direct
0.4027 0.4027 0.7989 Ag
0.4978 0.4978 0.4894 Ag
0.7003 0.7003 0.9114 Ag
0.0025 0.0025 0.0212 Cu
0.1990 0.1990 0.3900 Cu
0.1050 0.1050 0.6897 Cu
0.3056 0.3056 0.1148 Cu
0.8924 0.8924 0.2934 Cu
0.7939 0.7939 0.5885 Cu
0.6008 0.6008 0.2028 Cu
```

# 5
First-principles (PBE-GGA) data for a geometry-optimized RbTb2CuS4 structure, as listed in the Open Quantum Materials Database.

Values from the calculation:
Space-group type   Cmcm
M_tot   0.00 Bohr magnetons per cell

Structure (POSCAR):
```
RbTb2CuS4
1.0
1.9960 -6.9003 0.0000
1.9960 6.9003 0.0000
0.0000 0.0000 13.7957
Cu S Tb Rb
2 8 4 2
Direct
0.3358 0.6642 0.2500 Cu
0.6642 0.3358 0.7500 Cu
0.0745 0.9255 0.7500 S
0.7596 0.2404 0.8908 S
0.5000 0.5000 0.0000 S
0.2404 0.7596 0.1092 S
0.5000 0.5000 0.5000 S
0.9255 0.0745 0.2500 S
0.7596 0.2404 0.6092 S
0.2404 0.7596 0.3908 S
0.8659 0.1341 0.0621 Tb
0.1341 0.8659 0.5621 Tb
0.1341 0.8659 0.9379 Tb
0.8659 0.1341 0.4379 Tb
0.6076 0.3924 0.2500 Rb
0.3924 0.6076 0.7500 Rb
```

# 6
First-principles (PBE-GGA) data for a geometry-optimized Dy3Ho2TmBi2Os structure, as listed in the Open Quantum Materials Database.

Values from the calculation:
Space-group type   Amm2
M_tot   0.04 Bohr magnetons per cell

Structure (POSCAR):
```
Dy3Ho2TmBi2Os
1.0
4.2370 0.0000 0.0000
0.0000 7.1528 4.1381
0.0000 -7.1528 4.1381
Ho Tm Os Bi Dy
2 1 1 2 3
Direct
0.5000 0.7673 0.0000 Ho
0.5000 0.0000 0.7673 Ho
0.5000 0.2323 0.2323 Tm
0.0000 0.0025 0.0025 Os
0.5000 0.6655 0.3332 Bi
0.5000 0.3332 0.6655 Bi
0.0000 0.3869 0.0003 Dy
0.0000 0.6120 0.6120 Dy
0.0000 0.0003 0.3869 Dy
```

# 7
First-principles (PBE-GGA) data for a geometry-optimized Sm2PuAs3 structure, as listed in the Open Quantum Materials Database.

Values from the calculation:
Space-group type   P-3m1
M_tot   4.93 Bohr magnetons per cell

Structure (POSCAR):
```
Sm2PuAs3
1.0
-4.0374 1.0698 0.2866
1.3521 -3.5569 1.7459
1.9439 5.0069 8.6952
As Sm Pu
3 2 1
Direct
0.3333 0.6667 0.3404 As
0.6667 0.3333 0.6596 As
0.0000 0.0000 0.0000 As
0.3333 0.6667 0.8337 Sm
0.6667 0.3333 0.1663 Sm
0.0000 0.0000 0.5000 Pu
```

# 8
First-principles (PBE-GGA) data for a geometry-optimized Tb3Mg3GaIr2 structure, as listed in the Open Quantum Materials Database.

Values from the calculation:
Space-group type   P-62m
M_tot   0.00 Bohr magnetons per cell

Structure (POSCAR):
```
Tb3Mg3GaIr2
1.0
-7.1071 -1.0118 1.4891
5.1122 -3.0715 4.2641
0.0230 3.3628 2.3947
Tb Mg Ga Ir
3 3 1 2
Direct
0.5815 0.0000 0.5000 Tb
0.4185 0.4185 0.5000 Tb
0.0000 0.5815 0.5000 Tb
0.7484 0.7484 0.0000 Mg
0.0000 0.2516 0.0000 Mg
0.2516 0.0000 0.0000 Mg
0.0000 0.0000 0.5000 Ga
0.3333 0.6667 0.0000 Ir
0.6667 0.3333 0.0000 Ir
```

Across the entries above, uncorrected energy takes the values -3.11 -3.79 -1.35 -3.36 -5.46 -5.76 -7.64 -4.94 eV/atom, respectively.